The following is a PBE-GGA calculation of a relaxed NpBiSb2 crystal, from the Alexandria database.

Output
- DFT total energy (eV per atom) = -6.344

```
data_NpBiSb2
_chemical_formula_sum 'Np1 Bi1 Sb2'
_cell_length_a 5.024
_cell_length_b 5.024
_cell_length_c 4.359
_cell_angle_alpha 90.00
_cell_angle_beta 90.00
_cell_angle_gamma 90.00
_space_group_name_H-M_alt 'P 4/m m m'
_space_group_IT_number 123
_space_group_name_Hall '-P 4 2'
loop_
_atom_site_label
_atom_site_fract_x
_atom_site_fract_y
_atom_site_fract_z
Np1 0.000 0.000 0.000
Bi1 0.500 0.500 0.000
Sb1 0.000 0.500 0.500
```



The following is a PBE-GGA calculation of a relaxed Sr2ZnSi3 crystal, from the Alexandria database.

Output
- DFT total energy (eV per atom) = -3.920

```
data_Sr2ZnSi3
_chemical_formula_sum 'Sr8 Zn4 Si12'
_cell_length_a 8.290
_cell_length_b 9.416
_cell_length_c 8.285
_cell_angle_alpha 90.00
_cell_angle_beta 119.92
_cell_angle_gamma 90.00
_space_group_name_H-M_alt 'C 1 2/m 1'
_space_group_IT_number 12
loop_
_space_group_symop_operation_xyz
'x,y,z'
'-x,-y,-z'
'-x,y,-z'
'x,-y,z'
'x+1/2,y+1/2,z'
'-x+1/2,-y+1/2,-z'
'-x+1/2,y+1/2,-z'
'x+1/2,-y+1/2,z'
loop_
_atom_site_label
_atom_site_fract_x
_atom_site_fract_y
_atom_site_fract_z
Sr1 0.000 0.244 0.000
Sr2 0.000 0.250 0.500
Zn1 0.166 0.500 0.332
Si1 0.165 0.000 0.331
Si2 0.166 0.000 0.835
Si3 0.167 0.500 0.834
```



The following is a PBE-GGA calculation of a relaxed Rb2AgHg2 crystal, from the Alexandria database.

Output
- DFT total energy (eV per atom) = -1.184
- DFT formation energy (eV/atom) = -0.106

```
data_Rb2AgHg2
_chemical_formula_sum 'Rb4 Ag2 Hg4'
_cell_length_a 8.108
_cell_length_b 8.108
_cell_length_c 5.574
_cell_angle_alpha 90.00
_cell_angle_beta 90.00
_cell_angle_gamma 90.00
_space_group_name_H-M_alt 'P 4/m b m'
_space_group_IT_number 127
_space_group_name_Hall '-P 4 2ab'
loop_
_atom_site_label
_atom_site_fract_x
_atom_site_fract_y
_atom_site_fract_z
Rb1 0.178 0.322 0.000
Ag1 0.000 0.000 0.500
Hg1 0.136 0.636 0.500
```



The following is a PBE-GGA calculation of a relaxed Pr2InCl crystal, from the Alexandria database.

Output
- DFT total energy (eV per atom) = -4.434

```
data_Pr2InCl
_chemical_formula_sum 'Pr2 In1 Cl1'
_cell_length_a 3.559
_cell_length_b 3.559
_cell_length_c 8.543
_cell_angle_alpha 90.00
_cell_angle_beta 90.00
_cell_angle_gamma 90.00
_space_group_name_H-M_alt 'P 4/m m m'
_space_group_IT_number 123
_space_group_name_Hall '-P 4 2'
loop_
_atom_site_label
_atom_site_fract_x
_atom_site_fract_y
_atom_site_fract_z
Pr1 0.000 0.000 0.248
In1 0.500 0.500 0.500
Cl1 0.500 0.500 0.000
```



The following is a PBE-GGA calculation of a relaxed Tb6Y12Mg crystal, from the Alexandria database.

Output
- DFT total energy (eV per atom) = -5.503
- DFT formation energy (eV/atom) = 0.125

```
data_Tb6Y12Mg
_chemical_formula_sum 'Tb18 Y36 Mg3'
_cell_length_a 11.8900
_cell_length_b 11.8900
_cell_length_c 15.1278
_cell_angle_alpha 90.00
_cell_angle_beta 90.00
_cell_angle_gamma 120.00
_space_group_name_H-M_alt 'R -3'
_space_group_IT_number 148
_space_group_name_Hall '-R 3'
loop_
_atom_site_label
_atom_site_fract_x
_atom_site_fract_y
_atom_site_fract_z
Tb1 0.0188 0.5919 0.1879
Y1 0.0044 0.8271 0.3130
Y2 0.0465 0.1959 0.9149
Mg1 0.0000 0.0000 0.5000
```



The following is a PBE-GGA calculation of a relaxed CeZnGePd crystal, from the Alexandria database.

Output
- DFT total energy (eV per atom) = -4.719
- DFT formation energy (eV/atom) = -0.464

```
data_CeZnGePd
_chemical_formula_sum 'Ce4 Zn4 Ge4 Pd4'
_cell_length_a 6.779
_cell_length_b 6.779
_cell_length_c 6.779
_cell_angle_alpha 90.00
_cell_angle_beta 90.00
_cell_angle_gamma 90.00
_space_group_name_H-M_alt 'F -4 3 m'
_space_group_IT_number 216
_space_group_name_Hall 'F -4 2 3'
loop_
_atom_site_label
_atom_site_fract_x
_atom_site_fract_y
_atom_site_fract_z
Ce1 0.000 0.000 0.000
Zn1 0.000 0.000 0.500
Ge1 0.250 0.250 0.250
Pd1 0.250 0.250 0.750
```



The following is a PBE-GGA calculation of a relaxed PrGeSe3 crystal, from the Alexandria database.

Output
- DFT total energy (eV per atom) = -4.966

```
data_PrGeSe3
_chemical_formula_sum 'Pr4 Ge4 Se12'
_cell_length_a 8.137
_cell_length_b 6.779
_cell_length_c 9.432
_cell_angle_alpha 90.00
_cell_angle_beta 90.00
_cell_angle_gamma 90.00
_space_group_name_H-M_alt 'P n a 21'
_space_group_IT_number 33
loop_
_space_group_symop_operation_xyz
'x,y,z'
'-x,-y,z+1/2'
'-x+1/2,y+1/2,z+1/2'
'x+1/2,-y+1/2,z'
loop_
_atom_site_label
_atom_site_fract_x
_atom_site_fract_y
_atom_site_fract_z
Pr1 0.115 0.040 0.000
Ge1 0.066 0.523 0.229
Se1 0.035 0.379 0.484
Se2 0.175 0.843 0.307
Se3 0.176 0.835 0.693
```



The following is a PBE-GGA calculation of a relaxed TaHg2As crystal, from the Alexandria database.

Output
- DFT total energy (eV per atom) = -3.816
- DFT formation energy (eV/atom) = 0.461

```
data_TaHg2As
_chemical_formula_sum 'Ta2 Hg4 As2'
_cell_length_a 3.618
_cell_length_b 4.763
_cell_length_c 9.536
_cell_angle_alpha 90.00
_cell_angle_beta 90.00
_cell_angle_gamma 90.00
_space_group_name_H-M_alt 'C m m m'
_space_group_IT_number 65
_space_group_name_Hall '-C 2 2'
loop_
_atom_site_label
_atom_site_fract_x
_atom_site_fract_y
_atom_site_fract_z
Ta1 0.000 0.000 0.000
Hg1 0.000 0.500 0.241
As1 0.000 0.000 0.500
```



The following is a PBE-GGA calculation of a relaxed LaPmY crystal, from the Alexandria database.

Output
- DFT total energy (eV per atom) = -5.354
- DFT formation energy (eV/atom) = 0.026

```
data_LaPmY
_chemical_formula_sum 'La4 Pm4 Y4'
_cell_length_a 6.316
_cell_length_b 3.648
_cell_length_c 18.097
_cell_angle_alpha 90.00
_cell_angle_beta 96.72
_cell_angle_gamma 90.00
_space_group_name_H-M_alt 'C 1 2/m 1'
_space_group_IT_number 12
loop_
_space_group_symop_operation_xyz
'x,y,z'
'-x,-y,-z'
'-x,y,-z'
'x,-y,z'
'x+1/2,y+1/2,z'
'-x+1/2,-y+1/2,-z'
'-x+1/2,y+1/2,-z'
'x+1/2,-y+1/2,z'
loop_
_atom_site_label
_atom_site_fract_x
_atom_site_fract_y
_atom_site_fract_z
La1 0.196 0.000 0.088
Pm1 0.081 0.000 0.742
Y1 0.194 0.500 0.580
```



The following is a PBE-GGA calculation of a relaxed NdP2N4 crystal, from the Alexandria database.

Output
- DFT total energy (eV per atom) = -7.565

```
data_NdP2N4
_chemical_formula_sum 'Nd2 P4 N8'
_cell_length_a 5.575
_cell_length_b 5.833
_cell_length_c 5.905
_cell_angle_alpha 98.49
_cell_angle_beta 104.75
_cell_angle_gamma 111.42
_space_group_name_H-M_alt 'P 1'
_space_group_IT_number 1
loop_
_space_group_symop_operation_xyz
'x,y,z'
loop_
_atom_site_label
_atom_site_fract_x
_atom_site_fract_y
_atom_site_fract_z
Nd1 0.000 0.000 0.000
Nd2 0.237 0.826 0.553
P1 0.084 0.325 0.626
P2 0.583 0.943 0.225
P3 0.606 0.485 0.349
P4 0.685 0.410 0.854
N1 0.347 0.260 0.782
N2 0.429 0.659 0.294
N3 0.460 0.163 0.315
N4 0.519 0.881 0.944
N5 0.764 0.611 0.658
N6 0.802 0.532 0.160
N7 0.868 0.258 0.794
N8 0.914 0.057 0.387
```



The following is a PBE-GGA calculation of a relaxed K2ErRe2N6 crystal, from the Alexandria database.

Output
- DFT total energy (eV per atom) = -7.786

```
data_K2ErRe2N6
_chemical_formula_sum 'K4 Er2 Re4 N12'
_cell_length_a 10.891
_cell_length_b 6.255
_cell_length_c 7.385
_cell_angle_alpha 90.00
_cell_angle_beta 121.78
_cell_angle_gamma 90.00
_space_group_name_H-M_alt 'C 1 2/m 1'
_space_group_IT_number 12
loop_
_space_group_symop_operation_xyz
'x,y,z'
'-x,-y,-z'
'-x,y,-z'
'x,-y,z'
'x+1/2,y+1/2,z'
'-x+1/2,-y+1/2,-z'
'-x+1/2,y+1/2,-z'
'x+1/2,-y+1/2,z'
loop_
_atom_site_label
_atom_site_fract_x
_atom_site_fract_y
_atom_site_fract_z
K1 0.218 0.000 0.187
Er1 0.000 0.000 0.500
Re1 0.058 0.500 0.212
N1 0.007 0.260 0.733
N2 0.247 0.500 0.318
```



The following is a PBE-GGA calculation of a relaxed SrEuMg crystal, from the Alexandria database.

Output
- DFT total energy (eV per atom) = -4.546
- DFT formation energy (eV/atom) = -0.029

```
data_SrEuMg
_chemical_formula_sum 'Sr2 Eu2 Mg2'
_cell_length_a 4.078
_cell_length_b 4.078
_cell_length_c 14.312
_cell_angle_alpha 90.00
_cell_angle_beta 90.00
_cell_angle_gamma 90.00
_space_group_name_H-M_alt 'I 4 m m'
_space_group_IT_number 107
_space_group_name_Hall 'I 4 -2'
loop_
_atom_site_label
_atom_site_fract_x
_atom_site_fract_y
_atom_site_fract_z
Sr1 0.000 0.000 0.000
Eu1 0.000 0.000 0.289
Mg1 0.000 0.000 0.651
```



Among the records above, which one has the highest DFT total energy?
Rb2AgHg2



Look up the DFT total energy of the third one.
-1.184 eV per atom



Repeat the ninth record exactly.
The following is a PBE-GGA calculation of a relaxed LaPmY crystal, from the Alexandria database.

Output
- DFT total energy (eV per atom) = -5.354
- DFT formation energy (eV/atom) = 0.026

```
data_LaPmY
_chemical_formula_sum 'La4 Pm4 Y4'
_cell_length_a 6.316
_cell_length_b 3.648
_cell_length_c 18.097
_cell_angle_alpha 90.00
_cell_angle_beta 96.72
_cell_angle_gamma 90.00
_space_group_name_H-M_alt 'C 1 2/m 1'
_space_group_IT_number 12
loop_
_space_group_symop_operation_xyz
'x,y,z'
'-x,-y,-z'
'-x,y,-z'
'x,-y,z'
'x+1/2,y+1/2,z'
'-x+1/2,-y+1/2,-z'
'-x+1/2,y+1/2,-z'
'x+1/2,-y+1/2,z'
loop_
_atom_site_label
_atom_site_fract_x
_atom_site_fract_y
_atom_site_fract_z
La1 0.196 0.000 0.088
Pm1 0.081 0.000 0.742
Y1 0.194 0.500 0.580
```